(1)
Density functional theory data (GGA-PBE) for a relaxed structure of Mg2AlW.

Summary:
- N(E_F): 2.006 states/eV/f.u.
- Space-group type: No. 123
- E_form: 0.303 eV per atom

Cell lengths 3.957, 3.957, 4.385 Å; angles 90.00, 90.00, 90.00 degrees
Atoms (fractional coordinates):
Mg 0.000 0.500 0.000
Mg 0.500 0.000 0.000
Al 0.000 0.000 0.500
W 0.500 0.500 0.500

=====

(2)
Density functional theory data (GGA-PBE) for a relaxed structure of Tb2Pr2Dy2Ho.

Summary:
- N(E_F): 11.479 states/eV/f.u.
- Space-group type: No. 12
- E_form: 0.084 eV per atom

Cell lengths 6.150, 6.150, 11.905 Å; angles 108.51, 108.51, 33.40 degrees
Atoms (fractional coordinates):
Tb 0.050 0.050 0.268
Tb 0.950 0.950 0.732
Pr 0.170 0.170 0.585
Pr 0.830 0.830 0.415
Dy 0.274 0.274 0.135
Dy 0.726 0.726 0.865
Ho 0.500 0.500 0.000

=====

(3)
Density functional theory data (GGA-PBE) for a relaxed structure of LiRuPb2.

Summary:
- E above lowest polymorph: 49 meV/atom
- N(E_F): 2.360 states/eV/f.u.
- Space-group type: No. 166
- E_form: 0.157 eV per atom

Cell lengths 9.100, 9.100, 9.100 Å; angles 21.31, 21.31, 21.31 degrees
Atoms (fractional coordinates):
Li 0.000 0.000 0.000
Ru 0.500 0.500 0.500
Pb 0.243 0.243 0.243
Pb 0.757 0.757 0.757